Material: CrPbCl2F
Method: DFT, PBE with a Hubbard U
State: relaxed

Values from the calculation:
- Density: 4.07 g/cm3
- Electronic total energy: -19.64 eV for the cell shown

a b c (Å): 5.735 4.335 5.735
angles (deg): 90.00 90.00 90.00
Each line ends with the local moment (μB).
Fractional coordinates of all 5 atoms:
Cr 0.500 0.500 0.500  4.60
Cl 0.000 0.000 0.500  -0.03
Cl 0.500 0.000 0.000  -0.01
Pb 0.000 0.500 0.000  0.01
F 0.000 0.000 0.000  0.00